Entry 1:
Computed, not measured: a geometry-optimized Li4CaSi2 structure at the PBE-GGA level of DFT.

Energy relative to the elements, uncorrected, kJ/mol of formula units: -146

abc: 4.4655 12.8043 4.5151
angles: 90.00 90.00 90.00
Space group Cmmm (No. 65)
One atom of each set of equivalent atoms:
Li1 0.0000 0.1824 0.0000 x4
Li2 0.0000 0.3049 0.5000 x4
Ca1 0.0000 0.5000 0.0000 x2
Si1 0.0000 0.0913 0.5000 x4

Entry 2:
Computed, not measured: a geometry-optimized RbOs2O8 structure at the PBE-GGA level of DFT.

ΔE to the lowest computed polymorph, meV per atom: 704
Energy relative to the elements, uncorrected, kJ/mol of formula units: -483

abc: 4.7309 4.7309 7.1325
angles: 90.00 90.00 90.00
Space group P4/mmm (No. 123)
One atom of each set of equivalent atoms:
Rb1 0.0000 0.0000 0.0000 x1
Os1 0.0000 0.5000 0.5000 x2
O1 0.2503 0.2503 0.3397 x8

Entry 3:
Computed, not measured: a geometry-optimized Fe3NiPb structure at the PBE-GGA level of DFT.

E_form, eV per atom: 1.984
ΔE to the lowest computed polymorph, meV per atom: 1216

abc: 4.8528 4.8528 4.8528
angles: 90.00 90.00 90.00
Space group Pm-3m (No. 221)
One atom of each set of equivalent atoms:
Fe1 0.0000 0.0000 0.5000 x3
Ni1 0.5000 0.5000 0.5000 x1
Pb1 0.0000 0.0000 0.0000 x1

What N(E_F) values result from the calculations? In sequence: 0.433 0.667 1.467 states/eV/atom.